Density functional theory data (GGA-PBE) for crystalline Ac2TbScBi4 at its relaxed geometry.

Unit cell a=8.008 b=4.647 c=8.041 alpha=90.00 beta=109.57 gamma=90.00
Sites, in units of the cell vectors:
Ac 0.000 0.000 0.000
Ac 0.000 0.500 0.500
Tb 0.500 0.000 0.500
Sc 0.500 0.500 0.000
Bi 0.277 0.500 0.252
Bi 0.282 0.000 0.767
Bi 0.718 0.000 0.233
Bi 0.723 0.500 0.748

## Properties
Magnetization   0.00 μB/f.u.
Formation energy   -852 meV/atom